Entry 1:
The following is a PBE calculation of crystalline Co7W5 at its relaxed geometry, from the Open Quantum Materials Database.

## Properties
**Distance to the lowest polymorph of the same formula**: 0 meV/atom
**ΔE_f**: 376 meV per atom

Cell: 4.9813 4.9813 15.2641 Å, 90.00 90.00 120.00°
Space group P6_3/mmc (No. 194)
Symmetry-distinct sites (fractional):
Co1 0.1559 0.3119 0.2500
Co2 0.3333 0.6667 0.1364
Co3 0.3333 0.6667 0.6643
W1 0.0000 0.0000 0.1012
W2 0.0000 0.5000 0.0000


Entry 2:
The following is a PBE calculation of crystalline Co3W2 at its relaxed geometry, from the Open Quantum Materials Database.

## Properties
**Distance to the lowest polymorph of the same formula**: 29 meV/atom
**ΔE_f**: 157 meV per atom

Cell: 9.0951 9.0951 4.6696 Å, 90.00 90.00 90.00°
Space group P4_2/mnm (No. 136)
Symmetry-distinct sites (fractional):
Co1 0.0000 0.0000 0.0000
Co2 0.0663 0.2563 0.0000
Co3 0.1842 0.8158 0.2495
W1 0.0346 0.3675 0.5000
W2 0.0992 0.0992 0.5000


Entry 3:
The following is a PBE calculation of crystalline Co25W4 at its relaxed geometry, from the Open Quantum Materials Database.

## Properties
**ΔE_f**: 39 meV per atom

Cell: 8.6630 8.6630 8.6630 Å, 90.00 90.00 90.00°
Space group I-43m (No. 217)
Symmetry-distinct sites (fractional):
Co1 0.0000 0.0000 0.0000
Co2 0.0375 0.3598 0.6402
Co3 0.0914 0.0914 0.7186
W1 0.1799 0.1799 0.1799


Entry 4:
The following is a PBE calculation of crystalline Co8W5 at its relaxed geometry, from the Open Quantum Materials Database.

## Properties
**Distance to the lowest polymorph of the same formula**: 0 meV/atom
**ΔE_f**: 51 meV per atom

Cell: 4.7334 4.7334 25.3549 Å, 90.00 90.00 120.00°
Space group R-3m (No. 166, hexagonal axes)
Symmetry-distinct sites (fractional):
Co1 0.0000 0.0000 0.1529
Co2 0.0085 0.5043 0.9105
W1 0.0000 0.0000 0.0524
W2 0.0000 0.0000 0.3365
W3 0.0000 0.0000 0.5000